Entry 1:
An optimized crystal structure of La4Y11Er9, computed with PBE.

## Properties
E_form: 76 meV/atom
SG: Cmmm, No. 65

Lattice parameters (Å, degrees): 15.101 15.101 3.720 90.00 90.00 112.61
Sites, in units of the cell vectors:
La1 0.054 0.253 0.000
La2 0.253 0.054 0.000
La3 0.747 0.946 0.000
La4 0.946 0.747 0.000
Y1 0.093 0.456 0.500
Y2 0.138 0.862 0.500
Y3 0.217 0.217 0.500
Y4 0.341 0.659 0.500
Y5 0.456 0.093 0.500
Y6 0.500 0.500 0.500
Y7 0.544 0.907 0.500
Y8 0.659 0.341 0.500
Y9 0.783 0.783 0.500
Y10 0.862 0.138 0.500
Y11 0.907 0.544 0.500
Er1 0.000 0.000 0.000
Er2 0.136 0.662 0.000
Er3 0.289 0.435 0.000
Er4 0.338 0.864 0.000
Er5 0.435 0.289 0.000
Er6 0.565 0.711 0.000
Er7 0.662 0.136 0.000
Er8 0.711 0.565 0.000
Er9 0.864 0.338 0.000

---

Entry 2:
An optimized crystal structure of Tb8Ga2Cu, computed with PBE.

## Properties
E_form: -232 meV/atom
SG: C2/m, No. 12

Lattice parameters (Å, degrees): 9.503 9.503 6.626 101.92 101.92 30.42
Sites, in units of the cell vectors:
Tb1 0.022 0.022 0.276
Tb2 0.207 0.207 0.812
Tb3 0.345 0.345 0.525
Tb4 0.408 0.408 0.038
Tb5 0.592 0.592 0.962
Tb6 0.655 0.655 0.475
Tb7 0.793 0.793 0.188
Tb8 0.978 0.978 0.724
Ga1 0.188 0.188 0.254
Ga2 0.812 0.812 0.746
Cu1 0.500 0.500 0.500

---

Across the entries above, total magnetization takes the values 0.01 0.00 μB per formula unit, respectively.
Across the entries above, DOS at the Fermi energy takes the values 30.2 11.1 states/eV/f.u., respectively.
Across the entries above, theoretical density takes the values 6.4 8.3 g/cm3, respectively.